# 1
This record from Alexandria via LeMat-Bulk describes KAcPa4N8 after structural relaxation. The functional is PBE.

a b c (Å): 7.1381 7.1381 18.7503
angles (deg): 90.00 90.00 120.00
Space group R3m (No. 160, hexagonal axes)
Inequivalent atoms, fractional coordinates:
1 K 0.0000 0.0000 0.0000 (multiplicity 3)
2 Ac 0.0000 0.0000 0.3589 (multiplicity 3)
3 Pa 0.0000 0.0000 0.5355 (multiplicity 3)
4 Pa 0.0052 0.5026 0.4978 (multiplicity 9)
5 N 0.0000 0.0000 0.2194 (multiplicity 3)
6 N 0.0000 0.0000 0.7814 (multiplicity 3)
7 N 0.1758 0.3515 0.5594 (multiplicity 9)
8 N 0.1799 0.3597 0.1167 (multiplicity 9)

Raw formation energy = -19.4 eV/f.u.
Total moment = 0.00 μB per atom

=====

# 2
This record from Alexandria via LeMat-Bulk describes Zn2GaCoPt after structural relaxation. The functional is PBE.

a b c (Å): 4.801 4.801 4.791
angles (deg): 90.00 90.00 90.00
Space group P4/mmm (No. 123)
Inequivalent atoms, fractional coordinates:
1 Zn 0.000 0.500 0.000 (multiplicity 2)
2 Ga 0.000 0.000 0.500 (multiplicity 1)
3 Co 0.500 0.500 0.500 (multiplicity 1)
4 Pt 0.500 0.500 0.000 (multiplicity 1)

Energy of formation = 0.446 eV per atom
Total moment = 0.43 μB per atom

=====

# 3
This record from Alexandria via LeMat-Bulk describes PmNdIn4 after structural relaxation. The functional is PBE.

a b c (Å): 8.596 8.596 8.596
angles (deg): 90.00 90.00 90.00
Space group F-43m (No. 216)
Inequivalent atoms, fractional coordinates:
1 Pm 0.000 0.000 0.000 (multiplicity 4)
2 Nd 0.250 0.250 0.250 (multiplicity 4)
3 In 0.125 0.125 0.625 (multiplicity 16)

Energy of formation = -0.423 eV per atom
Total moment = 0.00 μB per atom
Excess energy over the best structure of this formula in the dataset = 4.7 kJ per mole of atoms

=====

# 4
This record from Alexandria via LeMat-Bulk describes Cs4SrI6 after structural relaxation. The functional is PBE.

a b c (Å): 14.9526 14.9526 18.7316
angles (deg): 90.00 90.00 120.00
Space group R-3c (No. 167, hexagonal axes)
Inequivalent atoms, fractional coordinates:
1 Cs 0.0000 0.0000 0.2500 (multiplicity 6)
2 Cs 0.0000 0.3766 0.2500 (multiplicity 18)
3 Sr 0.0000 0.0000 0.0000 (multiplicity 6)
4 I 0.0297 0.1928 0.3975 (multiplicity 36)

Raw formation energy = -17.7 eV/f.u.
Total moment = 0.00 μB per atom